Entry 1:
The following is a DFT calculation (PBE-GGA) of crystalline HgPbW2 at its relaxed geometry.

Values from the calculation:
- ρ (Mg/m³) = 16.8
- symmetry = I-4m2, No. 119
- energy of formation from the pure elements (eV per atom) = 1.1265
- energy above the most stable polymorph in this dataset (kJ per mole of atoms) = 50.7
- raw total energy (eV for the cell shown) = -25.410

a b c (Å): 5.196 5.196 5.196
angles (deg): 131.73 131.73 70.65
Fractional positions:
1 Hg 0.000 0.000 0.000
2 Pb 0.250 0.750 0.500
3 W 0.500 0.500 0.000
4 W 0.750 0.250 0.500

---

Entry 2:
The following is a DFT calculation (PBE-GGA) of crystalline Hg3PbW at its relaxed geometry.

Values from the calculation:
- ρ (Mg/m³) = 11.1
- symmetry = Pm-3m, No. 221
- energy of formation from the pure elements (eV per atom) = 0.9018
- energy above the most stable polymorph in this dataset (kJ per mole of atoms) = 0.0
- raw total energy (eV for the cell shown) = -13.058

a b c (Å): 5.291 5.291 5.291
angles (deg): 90.00 90.00 90.00
Fractional positions:
1 Hg 0.000 0.000 0.500
2 Hg 0.000 0.500 0.000
3 Hg 0.500 0.000 0.000
4 Pb 0.500 0.500 0.500
5 W 0.000 0.000 0.000